VASP calculation (PBE) on crystalline SrMg2Tl at its relaxed geometry.

Unit cell a=11.909 b=11.909 c=11.909 alpha=156.85 beta=156.85 gamma=32.98
Atoms (fractional coordinates):
1 Sr 0.000 0.000 0.000
2 Sr 0.750 0.250 0.500
3 Mg 0.171 0.625 0.046
4 Mg 0.375 0.421 0.546
5 Mg 0.579 0.125 0.954
6 Mg 0.875 0.829 0.454
7 Tl 0.250 0.750 0.500
8 Tl 0.500 0.500 0.000

* relative energy among the computed polymorphs: 5.93 kcal/mol of atoms
* total magnetization: 0.0 μB per formula unit
* uncorrected energy: -1.7330 eV/atom

=====

VASP calculation (PBE) on crystalline SrMg6Tl12 at its relaxed geometry.

Unit cell a=9.014 b=9.014 c=9.014 alpha=111.31 beta=111.31 gamma=111.31
Atoms (fractional coordinates):
1 Sr 0.000 0.000 0.000
2 Mg 0.045 0.558 0.345
3 Mg 0.345 0.045 0.558
4 Mg 0.442 0.655 0.955
5 Mg 0.558 0.345 0.045
6 Mg 0.655 0.955 0.442
7 Mg 0.955 0.442 0.655
8 Tl 0.110 0.183 0.739
9 Tl 0.183 0.739 0.110
10 Tl 0.208 0.331 0.488
11 Tl 0.261 0.890 0.817
12 Tl 0.331 0.488 0.208
13 Tl 0.488 0.208 0.331
14 Tl 0.512 0.792 0.669
15 Tl 0.669 0.512 0.792
16 Tl 0.739 0.110 0.183
17 Tl 0.792 0.669 0.512
18 Tl 0.817 0.261 0.890
19 Tl 0.890 0.817 0.261

* relative energy among the computed polymorphs: 0.00 kcal/mol of atoms
* total magnetization: 0.0 μB per formula unit
* uncorrected energy: -2.1338 eV/atom

=====

VASP calculation (PBE) on crystalline Sr6Mg3Tl at its relaxed geometry.

Unit cell a=10.320 b=6.072 c=13.394 alpha=90.00 beta=110.19 gamma=90.00
Atoms (fractional coordinates):
1 Sr 0.016 0.250 0.413
2 Sr 0.154 0.750 0.161
3 Sr 0.263 0.250 0.997
4 Sr 0.350 0.750 0.822
5 Sr 0.359 0.250 0.334
6 Sr 0.392 0.250 0.635
7 Sr 0.608 0.750 0.365
8 Sr 0.641 0.750 0.666
9 Sr 0.650 0.250 0.178
10 Sr 0.737 0.750 0.003
11 Sr 0.846 0.250 0.839
12 Sr 0.984 0.750 0.587
13 Mg 0.038 0.750 0.871
14 Mg 0.094 0.250 0.717
15 Mg 0.261 0.750 0.467
16 Mg 0.739 0.250 0.533
17 Mg 0.906 0.750 0.283
18 Mg 0.962 0.250 0.129
19 Tl 0.446 0.750 0.100
20 Tl 0.554 0.250 0.900

* total magnetization: 0.0 μB per formula unit
* uncorrected energy: -1.8232 eV/atom

=====

VASP calculation (PBE) on crystalline SrMg5Tl2 at its relaxed geometry.

Unit cell a=7.354 b=7.354 c=7.354 alpha=143.64 beta=108.29 gamma=83.16
Atoms (fractional coordinates):
1 Sr 0.000 0.000 0.000
2 Mg 0.173 0.353 0.819
3 Mg 0.466 0.647 0.819
4 Mg 0.500 0.000 0.500
5 Mg 0.534 0.353 0.181
6 Mg 0.827 0.647 0.181
7 Tl 0.235 0.735 0.500
8 Tl 0.765 0.265 0.500

* total magnetization: 0.0 μB per formula unit
* uncorrected energy: -1.9273 eV/atom

=====

VASP calculation (PBE) on crystalline Sr2MgTl2 at its relaxed geometry.

Unit cell a=8.312 b=8.312 c=4.957 alpha=90.00 beta=90.00 gamma=90.00
Atoms (fractional coordinates):
1 Sr 0.168 0.332 0.000
2 Sr 0.332 0.832 0.000
3 Sr 0.668 0.168 0.000
4 Sr 0.832 0.668 0.000
5 Mg 0.000 0.000 0.500
6 Mg 0.500 0.500 0.500
7 Tl 0.137 0.637 0.500
8 Tl 0.363 0.137 0.500
9 Tl 0.637 0.863 0.500
10 Tl 0.863 0.363 0.500

* relative energy among the computed polymorphs: 1.18 kcal/mol of atoms
* total magnetization: 0.0 μB per formula unit
* uncorrected energy: -2.2103 eV/atom

=====

VASP calculation (PBE) on crystalline Sr2MgTl at its relaxed geometry.

Unit cell a=5.827 b=5.827 c=5.827 alpha=60.00 beta=60.00 gamma=60.00
Atoms (fractional coordinates):
1 Sr 0.250 0.250 0.250
2 Sr 0.750 0.750 0.750
3 Mg 0.000 0.000 0.000
4 Tl 0.500 0.500 0.500

* total magnetization: 0.0 μB per formula unit
* uncorrected energy: -2.0877 eV/atom

=====

VASP calculation (PBE) on crystalline SrMg2Tl at its relaxed geometry.

Unit cell a=5.409 b=5.409 c=5.432 alpha=119.74 beta=119.74 gamma=60.25
Atoms (fractional coordinates):
1 Sr 0.000 0.000 0.000
2 Mg 0.500 0.500 0.500
3 Mg 0.750 0.750 0.253
4 Tl 0.250 0.250 0.748

* relative energy among the computed polymorphs: 0.69 kcal/mol of atoms
* total magnetization: 0.0 μB per formula unit
* uncorrected energy: -1.9600 eV/atom

=====

VASP calculation (PBE) on crystalline SrMgTl4 at its relaxed geometry.

Unit cell a=6.480 b=6.480 c=6.480 alpha=60.00 beta=60.00 gamma=60.00
Atoms (fractional coordinates):
1 Sr 0.000 0.000 0.000
2 Mg 0.250 0.250 0.250
3 Tl 0.126 0.625 0.625
4 Tl 0.625 0.126 0.625
5 Tl 0.625 0.625 0.126
6 Tl 0.625 0.625 0.625

* relative energy among the computed polymorphs: 2.50 kcal/mol of atoms
* total magnetization: 0.0 μB per formula unit
* uncorrected energy: -2.1653 eV/atom

=====

Among the records above, which one has the highest uncorrected energy? number 1

=====

Number 7 is which compound? SrMg2Tl